Below is a crystal of HfSi2PbS relaxed with PBEsol, with properties calculated at the SCAN level.

Properties
calculated volume	25.3	Å³/atom
space-group type	P4/mmm (123)
raw formation energy	1.533	eV per atom
uncorrected energy	-32.090	eV per atom

Unit cell a=4.9947 b=4.9947 c=5.0645 alpha=90.00 beta=90.00 gamma=90.00
Last column: nearest neighbours and their distance in Å.
Element x y z (fractional)
1 Hf 0.0000 0.0000 0.0000  4 S 3.53, 8 Si 3.56
2 Si 0.0000 0.5000 0.5000  2 Pb 2.50
3 Si 0.5000 0.0000 0.5000  2 Pb 2.50
4 Pb 0.5000 0.5000 0.5000  4 Si 2.50, 2 S 2.53
5 S 0.5000 0.5000 0.0000  2 Pb 2.53